11
Lattice="5.6848 0.0000 0.0000 2.8424 4.9232 0.0000 2.8424 1.6411 4.9671" Properties=species:S:1:pos:R:3 comment="Li2Pu2CrO6 (PBE+U, optimized geometry)" volume_a3_per_fu=139 total_magnetization_mub_per_cell=12.00 energy_ha_per_atom=-0.31129 pbc="T T T"
Li 5.6848 3.2821 3.6737
Li 5.6848 3.2821 1.2935
Pu 8.5272 4.9232 2.9691
Pu 2.8424 1.6411 1.9981
Cr 0.0000 0.0000 0.0000
O 7.2414 4.1808 1.3557
O 4.1282 4.1808 1.3557
O 5.6848 1.4848 1.3557
O 5.6848 5.0795 3.6114
O 7.2414 2.3834 3.6114
O 4.1282 2.3834 3.6114